Entry from the Alexandria database: VFe2Pt after structural relaxation (PBE).

VASP energy: -124.42 eV for the cell shown
DFT formation energy: 245 meV/atom

CIF file:
```
data_VFe2Pt
_cell_length_a 3.6575
_cell_length_b 3.6575
_cell_length_c 17.3017
_cell_angle_alpha 90.00
_cell_angle_beta 90.00
_cell_angle_gamma 90.00
_space_group_name_H-M_alt 'I -4 2 d'
_space_group_IT_number 122
_space_group_name_Hall 'I -4 2bw'
loop_
_atom_site_label
_atom_site_type_symbol
_atom_site_fract_x
_atom_site_fract_y
_atom_site_fract_z
V1 V 0.0000 0.0000 0.0000
Fe1 Fe 0.2334 0.2500 0.1250
Pt1 Pt 0.0000 0.0000 0.5000
```